1.
GGA-PBE LaBeCd2Cu, optimized geometry; E_form = 212 kJ/mol of formula units; final energy = -2.478 eV per atom; total magnetization = 0.00 μB per cell
1.0
4.9704 0.0000 0.0000
0.0000 4.9704 0.0000
0.0000 0.0000 5.2651
La Be Cd Cu
1 1 2 1
Direct
0.0000 0.0000 0.0000
0.5000 0.5000 0.0000
0.0000 0.5000 0.5000
0.5000 0.0000 0.5000
0.0000 0.0000 0.5000

2.
GGA-PBE Tb3Sm6Tm2Pu, optimized geometry; E_form = 51 kJ/mol of formula units; final energy = -5.412 eV per atom; total magnetization = 6.68 μB per cell
1.0
3.0970 -5.3638 0.0000
3.0970 5.3638 0.0000
-2.0714 0.0000 11.5845
Tb Sm Tm Pu
3 6 2 1
Direct
0.0000 0.0000 0.0000
0.3332 0.6668 0.0000
0.6668 0.3332 0.0000
0.0880 0.4180 0.2533
0.2521 0.2521 0.7465
0.4180 0.0880 0.2533
0.5820 0.9120 0.7467
0.7479 0.7479 0.2535
0.9120 0.5820 0.7467
0.1665 0.8335 0.5000
0.8335 0.1665 0.5000
0.5000 0.5000 0.5000

3.
GGA-PBE K2ZrTl, optimized geometry; E_form = 270 kJ/mol of formula units; final energy = -2.578 eV per atom; total magnetization = 4.14 μB per cell; polymorph energy (0 for the lowest one) = 0.366 eV/atom
1.0
8.0343 0.0000 0.0000
0.0000 8.0343 0.0000
0.0000 0.0000 8.0343
K Zr Tl
8 4 4
Direct
0.0000 0.0000 0.0000
0.0000 0.5000 0.5000
0.2500 0.2500 0.2500
0.2500 0.7500 0.7500
0.5000 0.0000 0.5000
0.5000 0.5000 0.0000
0.7500 0.2500 0.7500
0.7500 0.7500 0.2500
0.0000 0.0000 0.5000
0.0000 0.5000 0.0000
0.5000 0.0000 0.0000
0.5000 0.5000 0.5000
0.2500 0.2500 0.7500
0.2500 0.7500 0.2500
0.7500 0.2500 0.2500
0.7500 0.7500 0.7500

4.
GGA-PBE LiSi2Os, optimized geometry; final energy = -6.253 eV per atom; total magnetization = 0.00 μB per cell; polymorph energy (0 for the lowest one) = 0.000 eV/atom
1.0
5.8904 0.0000 0.0000
0.0000 5.8904 0.0000
0.0000 0.0000 5.8904
Li Si Os
4 8 4
Direct
0.0000 0.0000 0.0000
0.0000 0.5000 0.5000
0.5000 0.0000 0.5000
0.5000 0.5000 0.0000
0.2500 0.2500 0.2500
0.2500 0.2500 0.7500
0.2500 0.7500 0.2500
0.2500 0.7500 0.7500
0.7500 0.2500 0.2500
0.7500 0.2500 0.7500
0.7500 0.7500 0.2500
0.7500 0.7500 0.7500
0.0000 0.0000 0.5000
0.0000 0.5000 0.0000
0.5000 0.0000 0.0000
0.5000 0.5000 0.5000